12
Lattice="5.9064 0.0000 0.0000 2.9532 8.7863 1.2647 2.9532 1.2515 7.6750" Properties=species:S:1:pos:R:3 comment="Pr7ErMg4 (PBE, relaxed)" magnetic_moment_mub_per_atom=0.0000 mass_density_g_cm3=5.34 dft_energy_ev_per_atom=-3.5821 formation_enthalpy_0k_mev_per_atom=117.7 pbc="T T T"
Pr 8.8595 8.3638 5.0460
Pr 2.9532 1.6740 3.8937
Pr 2.9532 5.3696 2.7283
Pr 8.8595 4.6682 6.2114
Pr 5.9064 7.2411 6.8948
Pr 2.9532 0.0000 0.0000
Pr 5.9064 2.7967 2.0449
Er 0.0000 0.0000 0.0000
Mg 5.9064 3.4688 5.1358
Mg 5.9064 6.5691 3.8039
Mg 8.8595 7.0063 8.4702
Mg 2.9532 3.0315 0.4695